(1)
Below is a PBEsol-optimized structure of SbRhW, with properties calculated at the meta-GGA SCAN level.

Calculated values
For the density of states at the Fermi level, the calculation gives 0.8612 states/eV per atom. The calculation puts the total energy at -1.7091 hartree per atom. The excess energy over the best structure of this formula in the dataset comes out at 79 meV per atom. As for the formation energy from raw total energies: 0.398 eV per atom. The spin magnetization is 1.03 μB/f.u.

a = 4.448 Å, b = 4.448 Å, c = 2.876 Å
α = 90.00°, β = 90.00°, γ = 120.00°
Sites, in units of the cell vectors:
Sb (0.000, 0.000, 0.000)
Rh (0.667, 0.333, 0.000)
W (0.333, 0.667, 0.500)


(2)
Below is a PBEsol-optimized structure of SbRh3W, with properties calculated at the meta-GGA SCAN level.

Calculated values
For the density of states at the Fermi level, the calculation gives 0.6716 states/eV per atom. The calculation puts the total energy at -1.4935 hartree per atom. As for the formation energy from raw total energies: 1.014 eV per atom. The spin magnetization is 0.00 μB/f.u.

a = 4.661 Å, b = 4.661 Å, c = 4.661 Å
α = 90.00°, β = 90.00°, γ = 90.00°
Sites, in units of the cell vectors:
Sb (0.000, 0.000, 0.000)
Rh (0.000, 0.500, 0.500)
Rh (0.500, 0.000, 0.500)
Rh (0.500, 0.500, 0.000)
W (0.500, 0.500, 0.500)